No. 1
Entry from Alexandria via LeMat-Bulk: a geometry-optimized Ba2ThUS6 structure (PBE).

density = 5.30 g/cm³
E_form (uncorrected) = -1.88 eV per atom
crystal system = monoclinic

Unit cell a=7.3181 b=7.6246 c=12.7959 alpha=90.00 beta=124.71 gamma=90.00
Fractional positions:
Ba 0.2313 0.0626 0.2502
Ba 0.2313 0.4374 0.7502
Ba 0.7687 0.5626 0.2498
Ba 0.7687 0.9374 0.7498
Th 0.5000 0.0000 0.0000
Th 0.5000 0.5000 0.5000
U 0.0000 0.0000 0.5000
U 0.0000 0.5000 0.0000
S 0.1476 0.2069 0.9497
S 0.1476 0.2931 0.4497
S 0.2441 0.7013 0.9503
S 0.2441 0.7987 0.4503
S 0.3401 0.0273 0.7463
S 0.3401 0.4727 0.2463
S 0.6599 0.5273 0.7537
S 0.6599 0.9727 0.2537
S 0.7559 0.2013 0.5497
S 0.7559 0.2987 0.0497
S 0.8524 0.7069 0.5503
S 0.8524 0.7931 0.0503

No. 2
Entry from Alexandria via LeMat-Bulk: a geometry-optimized BaThUS6 structure (PBE).

density = 4.78 g/cm³
E_form (uncorrected) = -1.53 eV per atom
crystal system = tetragonal

Unit cell a=6.5808 b=6.5808 c=12.8182 alpha=90.00 beta=90.00 gamma=90.00
Fractional positions:
Ba 0.0000 0.0000 0.0000
Ba 0.5000 0.5000 0.5000
Th 0.0000 0.0000 0.6665
Th 0.5000 0.5000 0.1665
U 0.0000 0.0000 0.3329
U 0.5000 0.5000 0.8329
S 0.1713 0.1713 0.4898
S 0.2022 0.2022 0.1971
S 0.2235 0.2235 0.8129
S 0.2765 0.7235 0.3129
S 0.2978 0.7022 0.6971
S 0.3287 0.6713 0.9898
S 0.6713 0.3287 0.9898
S 0.7022 0.2978 0.6971
S 0.7235 0.2765 0.3129
S 0.7765 0.7765 0.8129
S 0.7978 0.7978 0.1971
S 0.8287 0.8287 0.4898

No. 3
Entry from Alexandria via LeMat-Bulk: a geometry-optimized Ba2YThS6 structure (PBE).

density = 4.44 g/cm³
E_form (uncorrected) = -1.88 eV per atom
crystal system = monoclinic

Unit cell a=7.3068 b=7.6676 c=12.7396 alpha=90.00 beta=124.32 gamma=90.00
Fractional positions:
Ba 0.2262 0.0666 0.2491
Ba 0.2262 0.4334 0.7491
Ba 0.7738 0.5666 0.2509
Ba 0.7738 0.9334 0.7509
Y 0.0000 0.0000 0.5000
Y 0.0000 0.5000 0.0000
Th 0.5000 0.0000 0.0000
Th 0.5000 0.5000 0.5000
S 0.1489 0.2053 0.9500
S 0.1489 0.2947 0.4500
S 0.2457 0.7046 0.9491
S 0.2457 0.7954 0.4491
S 0.3442 0.0276 0.7475
S 0.3442 0.4724 0.2475
S 0.6558 0.5276 0.7525
S 0.6558 0.9724 0.2525
S 0.7543 0.2046 0.5509
S 0.7543 0.2954 0.0509
S 0.8511 0.7053 0.5500
S 0.8511 0.7947 0.0500

No. 4
Entry from Alexandria via LeMat-Bulk: a geometry-optimized BaTiS2 structure (PBE).

density = 4.64 g/cm³
E_form (uncorrected) = -1.02 eV per atom
crystal system = cubic

Unit cell a=5.0167 b=5.0167 c=5.0167 alpha=60.00 beta=60.00 gamma=60.00
Fractional positions:
Ba 0.0000 0.0000 0.0000
Ti 0.5000 0.5000 0.5000
S 0.2500 0.2500 0.2500
S 0.7500 0.7500 0.7500